Entry 1:
Compound: ErHfSc
Source: Alexandria
Functional: GGA-PBE
Structure: optimized geometry

The structure in POSCAR format:
```
ErHfSc
1.0
-0.3196 2.7476 -1.7561
2.9023 -2.0205 -3.6893
-7.1622 -6.1796 -2.2500
Er Hf Sc
2 2 2
Direct
0.6389 0.7500 0.3884
0.3611 0.2500 0.6116
0.8025 0.7500 0.0528
0.1975 0.2500 0.9472
0.0111 0.7500 0.7618
0.9889 0.2500 0.2382
```

Calculated values
* symmetry: No. 59
* distance to the lowest polymorph of the same formula: 0 meV per atom
* E: -0.254 hartree per atom
* energy relative to the elements: 0.0296 eV per atom


Entry 2:
Compound: ErHf6Sc12
Source: Alexandria
Functional: GGA-PBE
Structure: optimized geometry

The structure in POSCAR format:
```
ErHf6Sc12
1.0
-3.2294 4.5868 5.5439
-6.5714 -3.0512 -3.1159
2.2149 -6.0804 4.5084
Er Hf Sc
1 6 12
Direct
0.0000 0.0000 0.0000
0.0999 0.6557 0.0999
0.0999 0.0999 0.6557
0.6557 0.0999 0.0999
0.9001 0.9001 0.3443
0.9001 0.3443 0.9001
0.3443 0.9001 0.9001
0.7631 0.2369 0.5000
0.3489 0.0781 0.3489
0.3489 0.3489 0.0781
0.9219 0.6511 0.6511
0.6511 0.6511 0.9219
0.6511 0.9219 0.6511
0.5000 0.7631 0.2369
0.2369 0.5000 0.7631
0.2369 0.7631 0.5000
0.5000 0.2369 0.7631
0.7631 0.5000 0.2369
0.0781 0.3489 0.3489
```

Calculated values
* symmetry: No. 166
* distance to the lowest polymorph of the same formula: 0 meV per atom
* E: -0.263 hartree per atom
* energy relative to the elements: 0.2359 eV per atom